No. 1
{"formula": "B7C5", "functional": "PBE", "state": "optimized geometry", "cell": [[6.158, -1.314, 0.000], [6.158, 1.314, 0.000], [-1.672, 0.000, 5.298]], "species": ["B", "B", "B", "B", "B", "B", "B", "C", "C", "C", "C", "C"], "frac_coords": [[0.000, 0.000, 0.000], [0.015, 0.015, 0.497], [0.339, 0.339, 0.124], [0.394, 0.394, 0.454], [0.637, 0.637, 0.883], [0.748, 0.748, 0.170], [0.766, 0.766, 0.562], [0.077, 0.077, 0.793], [0.082, 0.082, 0.292], [0.334, 0.334, 0.666], [0.408, 0.408, 0.935], [0.656, 0.656, 0.328]], "formation_enthalpy_0k_ev_per_atom": 0.367, "e_tot_ev_per_cell": -88.452, "e_above_lowest_polymorph_kj_per_mol_fu": 235.1, "magnetic_moment_mub_per_cell": 0.000, "space_group": "No. 8"}

No. 2
{"formula": "BC", "functional": "PBE", "state": "optimized geometry", "cell": [[1.341, 0.774, 10.418], [-1.341, 0.774, 10.418], [0.000, -1.549, 10.418]], "species": ["B", "B", "B", "B", "C", "C", "C", "C"], "frac_coords": [[0.064, 0.064, 0.064], [0.212, 0.212, 0.212], [0.788, 0.788, 0.788], [0.936, 0.936, 0.936], [0.265, 0.265, 0.265], [0.477, 0.477, 0.477], [0.523, 0.523, 0.523], [0.735, 0.735, 0.735]], "formation_enthalpy_0k_ev_per_atom": 0.203, "e_tot_ev_per_cell": -61.978, "e_above_lowest_polymorph_kj_per_mol_fu": 10.1, "magnetic_moment_mub_per_cell": 0.000, "space_group": "No. 166"}

No. 3
{"formula": "BC", "functional": "PBE", "state": "optimized geometry", "cell": [[4.644, -1.284, 0.000], [4.644, 1.284, 0.000], [-3.414, 0.000, 6.779]], "species": ["B", "B", "B", "B", "B", "B", "C", "C", "C", "C", "C", "C"], "frac_coords": [[0.000, 0.000, 0.000], [0.189, 0.189, 0.190], [0.503, 0.503, 0.827], [0.647, 0.647, 0.324], [0.823, 0.823, 0.022], [0.865, 0.865, 0.565], [0.007, 0.007, 0.496], [0.172, 0.172, 0.689], [0.316, 0.316, 0.639], [0.350, 0.350, 0.175], [0.500, 0.500, 0.373], [0.671, 0.671, 0.808]], "formation_enthalpy_0k_ev_per_atom": 0.450, "e_tot_ev_per_cell": -90.007, "e_above_lowest_polymorph_kj_per_mol_fu": 57.7, "magnetic_moment_mub_per_cell": 0.000, "space_group": "No. 8"}

No. 4
{"formula": "BC", "functional": "PBE", "state": "optimized geometry", "cell": [[7.382, -1.295, 0.000], [7.382, 1.295, 0.000], [-1.276, 0.000, 4.189]], "species": ["B", "B", "B", "B", "B", "B", "C", "C", "C", "C", "C", "C"], "frac_coords": [[0.129, 0.129, 0.308], [0.186, 0.186, 0.759], [0.307, 0.307, 0.855], [0.693, 0.693, 0.145], [0.814, 0.814, 0.241], [0.871, 0.871, 0.692], [0.017, 0.017, 0.187], [0.373, 0.373, 0.235], [0.479, 0.479, 0.315], [0.521, 0.521, 0.685], [0.627, 0.627, 0.765], [0.983, 0.983, 0.813]], "formation_enthalpy_0k_ev_per_atom": 0.435, "e_tot_ev_per_cell": -90.183, "e_above_lowest_polymorph_kj_per_mol_fu": 54.9, "magnetic_moment_mub_per_cell": 0.000, "space_group": "No. 12"}

No. 5
{"formula": "BC", "functional": "PBE", "state": "optimized geometry", "cell": [[6.720, -1.350, 0.000], [6.720, 1.350, 0.000], [-1.320, 0.000, 4.469]], "species": ["B", "B", "B", "B", "B", "B", "C", "C", "C", "C", "C", "C"], "frac_coords": [[0.004, 0.004, 0.184], [0.146, 0.146, 0.013], [0.352, 0.352, 0.514], [0.648, 0.648, 0.486], [0.854, 0.854, 0.987], [0.996, 0.996, 0.816], [0.191, 0.191, 0.712], [0.303, 0.303, 0.797], [0.479, 0.479, 0.629], [0.521, 0.521, 0.371], [0.697, 0.697, 0.203], [0.809, 0.809, 0.288]], "formation_enthalpy_0k_ev_per_atom": 0.357, "e_tot_ev_per_cell": -91.127, "e_above_lowest_polymorph_kj_per_mol_fu": 39.7, "magnetic_moment_mub_per_cell": 0.000, "space_group": "No. 12"}

No. 6
{"formula": "B7C5", "functional": "PBE", "state": "optimized geometry", "cell": [[4.341, -1.327, 0.000], [4.341, 1.327, 0.000], [-2.300, 0.000, 6.864]], "species": ["B", "B", "B", "B", "B", "B", "B", "C", "C", "C", "C", "C"], "frac_coords": [[0.000, 0.000, 0.000], [0.185, 0.185, 0.431], [0.300, 0.300, 0.190], [0.388, 0.388, 0.725], [0.509, 0.509, 0.182], [0.732, 0.732, 0.314], [0.935, 0.935, 0.309], [0.055, 0.055, 0.540], [0.175, 0.175, 0.970], [0.542, 0.542, 0.648], [0.687, 0.687, 0.855], [0.846, 0.846, 0.808]], "formation_enthalpy_0k_ev_per_atom": 0.374, "e_tot_ev_per_cell": -88.374, "e_above_lowest_polymorph_kj_per_mol_fu": 242.6, "magnetic_moment_mub_per_cell": 0.000, "space_group": "No. 8"}